DFT (PBE-GGA) results for crystalline B2C at its relaxed geometry.

Calculated values
Its symmetry is P2/m, No. 10. For the energy, the calculation gives -7.211 eV/atom. As for the formation energy from the elements: 0.32 eV/atom. As for the energy above the most stable polymorph in this dataset: 130 meV/atom.

a = 2.7237 Å, b = 3.4773 Å, c = 9.6251 Å
α = 90.86°, β = 90.00°, γ = 90.00°
Atoms (fractional coordinates):
B 0.5000 0.2493 0.0081
B 0.0000 0.9992 0.0940
B 0.0000 0.0008 0.9060
B 0.5000 0.7507 0.9919
B 0.0000 0.2295 0.3745
B 0.5000 0.7315 0.3071
B 0.5000 0.2685 0.6929
B 0.0000 0.7705 0.6255
C 0.5000 0.3987 0.4277
C 0.0000 0.8963 0.2550
C 0.0000 0.1037 0.7450
C 0.5000 0.6013 0.5723

***

DFT (PBE-GGA) results for crystalline Ac3In7Au2 at its relaxed geometry.

Calculated values
Its symmetry is R-3m, No. 166. For the energy, the calculation gives -3.619 eV/atom. As for the formation energy from the elements: -0.45 eV/atom. As for the energy above the most stable polymorph in this dataset: 34 meV/atom.

a = 6.2582 Å, b = 6.2582 Å, c = 10.3104 Å
α = 72.33°, β = 72.33°, γ = 60.00°
Atoms (fractional coordinates):
Ac 0.0000 0.0000 0.0000
Ac 0.8588 0.8588 0.4236
Ac 0.1412 0.1412 0.5764
In 0.5000 0.5000 0.5000
In 0.9301 0.4163 0.2373
In 0.4163 0.9301 0.2373
In 0.4163 0.4163 0.2373
In 0.0699 0.5837 0.7627
In 0.5837 0.5837 0.7627
In 0.5837 0.0699 0.7627
Au 0.6636 0.6636 0.0093
Au 0.3364 0.3364 0.9907

***

DFT (PBE-GGA) results for crystalline Mg2Zn at its relaxed geometry.

Calculated values
Its symmetry is P4/mmm, No. 123. For the energy, the calculation gives -1.443 eV/atom. As for the formation energy from the elements: 0.04 eV/atom.

a = 4.7322 Å, b = 4.7322 Å, c = 2.9845 Å
α = 90.00°, β = 90.00°, γ = 90.00°
Atoms (fractional coordinates):
Mg 0.0000 0.5000 0.5000
Mg 0.5000 0.0000 0.5000
Zn 0.0000 0.0000 0.0000

***

DFT (PBE-GGA) results for crystalline Re2Pt at its relaxed geometry.

Calculated values
Its symmetry is Pa-3, No. 205. For the energy, the calculation gives -9.325 eV/atom. As for the formation energy from the elements: 0.99 eV/atom. As for the energy above the most stable polymorph in this dataset: 1074 meV/atom.

a = 6.1047 Å, b = 6.1047 Å, c = 6.1047 Å
α = 90.00°, β = 90.00°, γ = 90.00°
Atoms (fractional coordinates):
Re 0.1064 0.6064 0.8936
Re 0.1064 0.8936 0.3936
Re 0.3936 0.1064 0.8936
Re 0.3936 0.3936 0.3936
Re 0.6064 0.6064 0.6064
Re 0.6064 0.8936 0.1064
Re 0.8936 0.1064 0.6064
Re 0.8936 0.3936 0.1064
Pt 0.0000 0.0000 0.0000
Pt 0.0000 0.5000 0.5000
Pt 0.5000 0.0000 0.5000
Pt 0.5000 0.5000 0.0000

***

DFT (PBE-GGA) results for crystalline PrSm12Y6 at its relaxed geometry.

Calculated values
Its symmetry is R-3, No. 148. For the energy, the calculation gives -5.132 eV/atom. As for the formation energy from the elements: 0.14 eV/atom. As for the energy above the most stable polymorph in this dataset: 0 meV/atom.

a = 8.6620 Å, b = 8.6620 Å, c = 8.6620 Å
α = 89.08°, β = 89.08°, γ = 89.08°
Atoms (fractional coordinates):
Pr 0.0000 0.0000 0.0000
Sm 0.7773 0.5384 0.4334
Sm 0.4334 0.7773 0.5384
Sm 0.5384 0.4334 0.7773
Sm 0.2227 0.4616 0.5666
Sm 0.5666 0.2227 0.4616
Sm 0.4616 0.5666 0.2227
Sm 0.0159 0.2023 0.3593
Sm 0.7977 0.6407 0.9841
Sm 0.6407 0.9841 0.7977
Sm 0.9841 0.7977 0.6407
Sm 0.2023 0.3593 0.0159
Sm 0.3593 0.0159 0.2023
Y 0.7401 0.9026 0.3046
Y 0.6954 0.2599 0.0974
Y 0.0974 0.6954 0.2599
Y 0.2599 0.0974 0.6954
Y 0.3046 0.7401 0.9026
Y 0.9026 0.3046 0.7401

***

DFT (PBE-GGA) results for crystalline BaHoZn4 at its relaxed geometry.

Calculated values
Its symmetry is F-43m, No. 216. For the energy, the calculation gives -2.054 eV/atom. As for the formation energy from the elements: -0.12 eV/atom.

a = 5.7084 Å, b = 5.7084 Å, c = 5.7084 Å
α = 60.00°, β = 60.00°, γ = 60.00°
Atoms (fractional coordinates):
Zn 0.6268 0.6268 0.1195
Zn 0.6268 0.1195 0.6268
Zn 0.6268 0.6268 0.6268
Zn 0.1195 0.6268 0.6268
Ho 0.0000 0.0000 0.0000
Ba 0.2500 0.2500 0.2500